Li2NpNiSe4, relaxed, DFT PBE-GGA; DOS(E_F) = 10.5 states/eV per cell; E_form (uncorrected) = -0.86 eV/atom
1.0
6.3714 0.0000 0.0000
0.0000 3.9309 0.0000
-2.1805 0.0000 6.5135
Li Np Ni Se
2 1 1 4
direct
0.0000 0.0000 0.0000
0.5000 0.5000 0.0000
0.0000 0.5000 0.5000
0.5000 0.0000 0.5000
0.2644 0.0000 0.7517
0.2771 0.5000 0.2678
0.7229 0.5000 0.7322
0.7356 0.0000 0.2483